Entry 1:
The following is a PBE-GGA calculation of a geometry-optimized K2Pd2Au structure, from Alexandria via LeMat-Bulk.

Values from the calculation:
- Final energy: -2.58 eV per atom
- DFT formation energy: 0.5869 eV/atom

Structure (extended XYZ):
```
5
Lattice="-2.118 2.118 6.861 2.118 -2.118 6.861 2.118 2.118 -6.861" Properties=species:S:1:pos:R:3 pbc="T T T"
K 2.118 0.000 3.431
K 0.000 2.118 3.431
Pd 0.000 0.000 1.256
Pd 0.000 0.000 12.467
Au 0.000 0.000 6.861
```

Entry 2:
The following is a PBE-GGA calculation of a geometry-optimized Cd2In7Pb3 structure, from Alexandria via LeMat-Bulk.

Values from the calculation:
- Final energy: -2.63 eV per atom
- DFT formation energy: 0.0455 eV/atom

Structure (extended XYZ):
```
12
Lattice="5.762 0.000 0.000 0.000 3.431 0.000 -0.741 0.000 17.080" Properties=species:S:1:pos:R:3 pbc="T T T"
Cd 1.186 0.000 3.235
Cd 3.834 0.000 13.845
In 0.233 1.715 5.698
In 1.438 0.000 0.300
In 1.867 0.000 11.357
In 2.510 1.715 8.540
In 3.154 0.000 5.723
In 3.582 0.000 16.780
In 4.787 1.715 11.382
Pb -0.371 0.000 8.540
Pb 0.950 1.715 14.389
Pb 4.071 1.715 2.691
```

Entry 3:
The following is a PBE-GGA calculation of a geometry-optimized NaSr3Cd4 structure, from Alexandria via LeMat-Bulk.

Values from the calculation:
- Final energy: -1.50 eV per atom
- DFT formation energy: -0.2519 eV/atom

Structure (extended XYZ):
```
8
Lattice="4.015 0.000 0.000 0.000 4.015 0.000 0.000 0.000 15.747" Properties=species:S:1:pos:R:3 pbc="T T T"
Na 0.000 0.000 0.000
Sr 0.000 0.000 3.780
Sr 0.000 0.000 7.873
Sr 0.000 0.000 11.967
Cd 2.007 2.007 1.646
Cd 2.007 2.007 5.826
Cd 2.007 2.007 9.921
Cd 2.007 2.007 14.101
```